No. 1
{"formula": "Ba5SrCd3", "functional": "GGA-PBE", "state": "optimized geometry", "lattice": [[-5.0742, 5.9835, -1.3354], [-7.7273, -7.0571, -2.2592], [1.3673, 3.4040, 10.0569]], "species": ["Ba", "Ba", "Ba", "Ba", "Ba", "Ba", "Ba", "Ba", "Ba", "Ba", "Cd", "Cd", "Cd", "Cd", "Cd", "Cd", "Sr", "Sr"], "fractional_positions": [[0.7500, 0.0000, 0.3308], [0.5000, 0.6667, 0.3333], [0.2500, 0.3309, 0.3308], [0.7500, 0.3308, 0.0000], [0.7500, 0.6691, 0.6692], [0.0000, 0.3333, 0.6667], [0.2500, 0.6692, 0.0000], [0.0000, 0.6667, 0.3333], [0.2500, 0.0000, 0.6692], [0.5000, 0.3333, 0.6667], [0.2500, 0.3318, 0.0000], [0.7500, 0.6682, 0.0000], [0.7500, 0.0000, 0.6682], [0.2500, 0.0000, 0.3318], [0.2500, 0.6683, 0.6682], [0.7500, 0.3317, 0.3318], [0.0000, 0.0000, 0.0000], [0.5000, 0.0000, 0.0000]], "rho_g_cm3": 4.7, "e_tot_ev_per_cell": -30.746, "formation_energy_mev_per_atom": -148}

No. 2
{"formula": "BaSr2Cd", "functional": "GGA-PBE", "state": "optimized geometry", "lattice": [[-4.6968, 4.7797, 1.8808], [-2.7111, -6.9580, -1.2351], [-0.5582, -1.4627, 3.7855]], "species": ["Cd", "Sr", "Sr", "Ba"], "fractional_positions": [[0.5000, 0.5000, 0.0000], [0.5000, 0.0000, 0.5000], [0.0000, 0.0000, 0.0000], [0.0000, 0.5000, 0.5000]], "rho_g_cm3": 3.8, "e_tot_ev_per_cell": -6.153, "formation_energy_mev_per_atom": 12}

No. 3
{"formula": "BaSr2Cd", "functional": "GGA-PBE", "state": "optimized geometry", "lattice": [[12.4508, -0.0002, -0.0001], [11.6984, 4.2627, -0.0001], [11.6984, 2.0648, 3.7292]], "species": ["Cd", "Ba", "Sr", "Sr"], "fractional_positions": [[0.7476, 0.7476, 0.7476], [0.4843, 0.4843, 0.4843], [0.2522, 0.2522, 0.2522], [0.0159, 0.0159, 0.0159]], "rho_g_cm3": 3.6, "e_tot_ev_per_cell": -6.454, "formation_energy_mev_per_atom": -63}

No. 4
{"formula": "BaSr2Cd6", "functional": "GGA-PBE", "state": "optimized geometry", "lattice": [[-0.4471, -1.2651, 3.9902], [-3.1188, -8.6752, -0.8793], [5.4559, -7.4684, 0.4642]], "species": ["Cd", "Cd", "Cd", "Cd", "Cd", "Cd", "Sr", "Sr", "Ba"], "fractional_positions": [[0.3268, 0.3529, 0.9936], [0.3268, 0.9936, 0.3529], [0.5000, 0.3275, 0.6725], [0.6732, 0.0064, 0.6471], [0.6732, 0.6471, 0.0064], [0.5000, 0.6725, 0.3275], [0.8583, 0.6417, 0.6417], [0.1417, 0.3583, 0.3583], [0.0000, 0.0000, 0.0000]], "rho_g_cm3": 5.6, "e_tot_ev_per_cell": -13.026, "formation_energy_mev_per_atom": -250}